This record from Alexandria describes crystalline Ta2TiHg at its relaxed geometry. The functional is PBE-GGA.

Cell lengths 3.9572, 3.9572, 10.5092 Å; angles 79.15, 79.15, 90.00 degrees
Sites, in units of the cell vectors:
Ti  0.5000  0.5000  0.0000
Ti  0.2500  0.7500  0.5000
Hg  0.0000  0.0000  0.0000
Hg  0.7500  0.2500  0.5000
Ta  0.6162  0.1250  0.2500
Ta  0.1338  0.6250  0.2500
Ta  0.3750  0.3838  0.7500
Ta  0.8750  0.8662  0.7500

Values from the calculation:
Calculated volume in Å³ per atom: 19.8
Space group: I-42d
Formation energy from the elements in meV per atom: 583